# 1
Computed, not measured: a relaxed structure of YWN3 at the PBE-GGA level of DFT.

Cell: 3.6266 13.2116 4.9057 Å, 90.00 90.00 90.00°
Space group Cmcm (No. 63)
Inequivalent atoms, fractional coordinates:
Y 0.0000 0.1589 0.2500 (multiplicity 4)
W 0.0000 0.4504 0.2500 (multiplicity 4)
N 0.0000 0.0000 0.0000 (multiplicity 4)
N 0.1832 0.1799 0.7500 (multiplicity 8)

Formation energy without anion corrections   -0.3903 eV/atom
Final energy   -9.269 eV/atom


# 2
Computed, not measured: a relaxed structure of RbB2NCl at the PBE-GGA level of DFT.

Cell: 7.0285 7.0285 6.1026 Å, 90.00 90.00 90.00°
Space group P4/mmm (No. 123)
Inequivalent atoms, fractional coordinates:
Rb 0.0000 0.0000 0.0000 (multiplicity 1)
B 0.0000 0.5000 0.0000 (multiplicity 2)
N 0.5000 0.5000 0.5000 (multiplicity 1)
Cl 0.0000 0.0000 0.5000 (multiplicity 1)

Formation energy without anion corrections   2.8407 eV/atom
Final energy   -2.058 eV/atom


# 3
Computed, not measured: a relaxed structure of BaSc2Cu at the PBE-GGA level of DFT.

Cell: 4.0581 4.0581 25.7528 Å, 90.00 90.00 120.00°
Space group R-3m (No. 166, hexagonal axes)
Inequivalent atoms, fractional coordinates:
Ba 0.0000 0.0000 0.0000 (multiplicity 3)
Sc 0.0000 0.0000 0.2141 (multiplicity 6)
Cu 0.0000 0.0000 0.5000 (multiplicity 3)

Formation energy from the elements   0.213 eV per atom
Final energy   -4.458 eV/atom


# 4
Computed, not measured: a relaxed structure of Tc2MoIr at the PBE-GGA level of DFT.

Cell: 2.7432 2.7432 7.9301 Å, 90.00 90.00 90.00°
Space group P4/mmm (No. 123)
Inequivalent atoms, fractional coordinates:
Tc 0.0000 0.0000 0.2442 (multiplicity 2)
Mo 0.5000 0.5000 0.5000 (multiplicity 1)
Ir 0.5000 0.5000 0.0000 (multiplicity 1)

Formation energy from the elements   0.022 eV per atom
Final energy   -10.084 eV/atom